Material: SrB2IBr
Method: DFT, PBE-GGA
State: relaxed

Properties
Space group: P4/mmm
Density in Mg/m³: 3.885
Total magnetization in μB per atom: 0.00
VASP energy in eV per atom: -2.55
N(E_F) in states/eV/atom: 0.795

extended XYZ file:
```
5
Lattice="4.472 0.000 0.000 0.000 4.472 0.000 0.000 0.000 6.755" Properties=species:S:1:pos:R:3 pbc="T T T"
Sr 0.000 0.000 0.000
B 0.000 2.236 3.377
B 2.236 0.000 3.377
I 2.236 2.236 3.377
Br 2.236 2.236 0.000
```



Material: TcBIBr2
Method: DFT, PBE-GGA
State: relaxed

Properties
Space group: P4/mmm
Density in Mg/m³: 5.725
Total magnetization in μB per atom: 0.00
VASP energy in eV per atom: -3.59
N(E_F) in states/eV/atom: 1.406

extended XYZ file:
```
5
Lattice="5.221 0.000 0.000 0.000 5.221 0.000 0.000 0.000 4.208" Properties=species:S:1:pos:R:3 pbc="T T T"
Tc 0.000 0.000 0.000
B 0.000 0.000 2.104
I 2.610 2.610 2.104
Br 0.000 2.610 0.000
Br 2.610 0.000 0.000
```



Material: BTeI2Br
Method: DFT, PBE-GGA
State: relaxed

Properties
Space group: P4/mmm
Density in Mg/m³: 5.925
Total magnetization in μB per atom: 0.00
E above lowest polymorph in meV/atom: 0
N(E_F) in states/eV/atom: 0.958

extended XYZ file:
```
5
Lattice="5.103 0.000 0.000 0.000 5.103 0.000 0.000 0.000 5.082" Properties=species:S:1:pos:R:3 pbc="T T T"
B 0.000 0.000 0.000
Te 0.000 0.000 2.541
I 0.000 2.551 0.000
I 2.551 0.000 0.000
Br 2.551 2.551 2.541
```



Material: BTeI2Br
Method: DFT, PBE-GGA
State: relaxed

Properties
Space group: P4/mmm
Density in Mg/m³: 4.015
Total magnetization in μB per atom: 0.00
E above lowest polymorph in meV/atom: 685
N(E_F) in states/eV/atom: 0.531

extended XYZ file:
```
5
Lattice="5.874 0.000 0.000 0.000 5.874 0.000 0.000 0.000 5.659" Properties=species:S:1:pos:R:3 pbc="T T T"
B 0.000 0.000 0.000
Te 2.937 2.937 0.000
I 0.000 2.937 2.830
I 2.937 0.000 2.830
Br 2.937 2.937 2.830
```



Material: VB2IBr
Method: DFT, PBE-GGA
State: relaxed

Properties
Space group: P4/mmm
Density in Mg/m³: 4.137
Total magnetization in μB per atom: 0.03
VASP energy in eV per atom: -2.81
N(E_F) in states/eV/atom: 1.357

extended XYZ file:
```
5
Lattice="4.101 0.000 0.000 0.000 4.101 0.000 0.000 0.000 6.668" Properties=species:S:1:pos:R:3 pbc="T T T"
V 0.000 0.000 0.000
B 0.000 2.050 3.334
B 2.050 0.000 3.334
I 2.050 2.050 0.000
Br 2.050 2.050 3.334
```



Material: ZrBIBr2
Method: DFT, PBE-GGA
State: relaxed

Properties
Space group: P4/mmm
Density in Mg/m³: 2.910
Total magnetization in μB per atom: 0.41
VASP energy in eV per atom: -2.51
N(E_F) in states/eV/atom: 1.336

extended XYZ file:
```
5
Lattice="6.451 0.000 0.000 0.000 6.451 0.000 0.000 0.000 5.330" Properties=species:S:1:pos:R:3 pbc="T T T"
Zr 0.000 0.000 0.000
B 3.226 3.226 0.000
I 0.000 0.000 2.665
Br 0.000 3.226 2.665
Br 3.226 0.000 2.665
```



Question: Among the records above, which one has the highest total magnetization?
Answer: ZrBIBr2



Question: Which value of total magnetization does entry 4 give?
Answer: 0.00 μB per atom



Question: What is the formula in the third record?
Answer: BTeI2Br